# CsTcHg2F8, optimized geometry, DFT PBE-GGA
data_CsTcHg2F8
_cell_length_a 4.8833
_cell_length_b 5.8335
_cell_length_c 8.0281
_cell_angle_alpha 89.96
_cell_angle_beta 89.91
_cell_angle_gamma 74.49
_symmetry_space_group_name_H-M 'P -1'
_symmetry_Int_Tables_number 2
_symmetry_space_group_name_Hall '-P 1'
loop_
_atom_site_label
_atom_site_type_symbol
_atom_site_fract_x
_atom_site_fract_y
_atom_site_fract_z
_atom_site_occupancy
Cs1 Cs 0.0000 0.0000 0.0000 1
Tc1 Tc 0.0000 0.0000 0.5000 1
Hg1 Hg 0.4989 0.4996 0.2443 1
F1 F 0.0580 0.2181 0.6736 1
F2 F 0.0591 0.2179 0.3262 1
F3 F 0.3934 0.7941 0.5001 1
F4 F 0.3993 0.3107 0.9997 1
# DOS(E_F) = 2.89 states/eV/cell
# formation energy without anion corrections = -1822 meV/atom